1.
# TbPmCoGe

TbPmCoGe after structural relaxation (PBE, the Alexandria database).

POSCAR file:
```
TbPmCoGe
1.0
0.000 3.535 3.535
3.535 0.000 3.535
3.535 3.535 0.000
Tb Pm Co Ge
1 1 1 1
Direct
0.000 0.000 0.000
0.500 0.500 0.500
0.250 0.250 0.250
0.750 0.750 0.750
```

As for the final energy: -5.621 eV per atom. The mass density is 8.18 Mg/m³. For the density of states at the Fermi level, the calculation gives 1.84 states/eV/cell. Its crystal system is cubic. For the formation energy, the calculation gives -0.345 eV per atom.



2.
# PmCoTcGe2

PmCoTcGe2 after structural relaxation (PBE, the Alexandria database).

POSCAR file:
```
PmCoTcGe2
1.0
-2.096 2.096 5.079
2.096 -2.096 5.079
2.096 2.096 -5.079
Pm Co Tc Ge
1 1 1 2
Direct
0.000 0.000 0.000
0.750 0.250 0.500
0.250 0.750 0.500
0.369 0.369 0.000
0.631 0.631 0.000
```

As for the final energy: -6.792 eV per atom. The mass density is 8.32 Mg/m³. For the density of states at the Fermi level, the calculation gives 3.90 states/eV/cell. Its crystal system is tetragonal. For the formation energy, the calculation gives -0.500 eV per atom.



3.
# PmCoTcGe3

PmCoTcGe3 after structural relaxation (PBE, the Alexandria database).

POSCAR file:
```
PmCoTcGe3
1.0
3.755 -5.500 0.000
3.755 5.500 0.000
0.000 0.000 5.750
Pm Co Tc Ge
2 2 2 6
Direct
0.243 0.757 0.750
0.757 0.243 0.250
0.037 0.963 0.250
0.963 0.037 0.750
0.448 0.552 0.250
0.552 0.448 0.750
0.237 0.763 0.250
0.240 0.240 0.000
0.240 0.240 0.500
0.760 0.760 0.000
0.760 0.760 0.500
0.763 0.237 0.750
```

As for the final energy: -6.253 eV per atom. The mass density is 7.27 Mg/m³. For the density of states at the Fermi level, the calculation gives 5.87 states/eV/cell. Its crystal system is orthorhombic. For the formation energy, the calculation gives -0.240 eV per atom.



4.
# PmZnCoGe2

PmZnCoGe2 after structural relaxation (PBE, the Alexandria database).

POSCAR file:
```
PmZnCoGe2
1.0
5.541 0.000 0.000
0.000 5.632 0.000
0.000 0.000 5.728
Pm Zn Co Ge
2 2 2 4
Direct
0.250 0.000 0.229
0.750 0.000 0.771
0.250 0.500 0.368
0.750 0.500 0.632
0.000 0.500 0.000
0.500 0.500 0.000
0.250 0.248 0.749
0.250 0.752 0.749
0.750 0.248 0.251
0.750 0.752 0.251
```

As for the final energy: -4.900 eV per atom. The mass density is 7.70 Mg/m³. For the density of states at the Fermi level, the calculation gives 3.41 states/eV/cell. Its crystal system is orthorhombic. For the formation energy, the calculation gives -0.427 eV per atom.



5.
# PrCo2Ge7

PrCo2Ge7 after structural relaxation (PBE, the Alexandria database).

POSCAR file:
```
PrCo2Ge7
1.0
3.953 -6.350 0.000
3.953 6.350 0.000
0.000 0.000 4.090
Pr Co Ge
1 2 7
Direct
0.000 0.000 0.000
0.325 0.675 0.500
0.675 0.325 0.500
0.050 0.350 0.500
0.240 0.760 0.000
0.350 0.050 0.500
0.500 0.500 0.500
0.650 0.950 0.500
0.760 0.240 0.000
0.950 0.650 0.500
```

As for the final energy: -5.166 eV per atom. The mass density is 6.20 Mg/m³. For the density of states at the Fermi level, the calculation gives 3.14 states/eV/cell. Its crystal system is orthorhombic. For the formation energy, the calculation gives -0.035 eV per atom.



6.
# Pr2CoGe

Pr2CoGe after structural relaxation (PBE, the Alexandria database).

POSCAR file:
```
Pr2CoGe
1.0
5.965 0.000 0.000
0.000 4.340 0.000
-2.878 0.000 7.581
Pr Co Ge
4 2 2
Direct
0.189 0.250 0.416
0.280 0.750 0.055
0.720 0.250 0.945
0.811 0.750 0.584
0.210 0.250 0.769
0.790 0.750 0.231
0.366 0.750 0.708
0.634 0.250 0.292
```

As for the final energy: -5.739 eV per atom. The mass density is 7.00 Mg/m³. For the density of states at the Fermi level, the calculation gives 8.66 states/eV/cell. Its crystal system is monoclinic. For the formation energy, the calculation gives -0.418 eV per atom.